A plane-wave DFT calculation with GGA-PBE was carried out for a relaxed structure of NaBe2Pd2.

Cell lengths 3.704, 3.704, 6.053 Å; angles 72.19, 72.19, 90.00 degrees
Positions (direct):
1 Be 0.750 0.250 0.500
2 Be 0.250 0.750 0.500
3 Na 0.000 0.000 0.000
4 Pd 0.627 0.627 0.745
5 Pd 0.373 0.373 0.255

Output
Mass density = 5.6 g cm⁻³
DOS(E_F) = 0.2334 states/eV per atom
ΔH_f (0 K) = -0.17 eV/atom
Polymorph energy (0 for the lowest one) = 142 meV/atom
SG = I4/mmm (139)


A plane-wave DFT calculation with GGA-PBE was carried out for a relaxed structure of NaBe2PdPt.

Cell lengths 4.280, 5.192, 4.280 Å; angles 90.00, 90.00, 90.00 degrees
Positions (direct):
1 Na 0.500 0.500 0.500
2 Be 0.000 0.000 0.500
3 Be 0.500 0.000 0.000
4 Pt 0.000 0.000 0.000
5 Pd 0.000 0.500 0.000

Output
Mass density = 6.0 g cm⁻³
DOS(E_F) = 0.5988 states/eV per atom
ΔH_f (0 K) = 0.21 eV/atom
SG = P4/mmm (123)


A plane-wave DFT calculation with GGA-PBE was carried out for a relaxed structure of NaBePt2.

Cell lengths 2.847, 2.847, 9.054 Å; angles 80.95, 80.95, 60.00 degrees
Positions (direct):
1 Pt 0.104 0.104 0.688
2 Pt 0.896 0.896 0.312
3 Na 0.000 0.000 0.000
4 Be 0.500 0.500 0.500

Output
Mass density = 11.2 g cm⁻³
DOS(E_F) = 0.5372 states/eV per atom
ΔH_f (0 K) = -0.29 eV/atom
SG = R-3m (166)